No. 1
Density functional theory data (PBE-GGA) for a relaxed structure of KO8F6.

a = 7.7673 Å, b = 7.7673 Å, c = 7.7673 Å
α = 49.96°, β = 49.96°, γ = 49.96°
Last column: nearest neighbours and their distance in Å.
Element x y z (fractional)
F1 0.3557 0.8535 0.6244  1 O 1.64
F2 0.3756 0.6443 0.1465  1 O 1.64
F3 0.6443 0.1465 0.3756  1 O 1.64
F4 0.1465 0.3756 0.6443  1 O 1.64
F5 0.6244 0.3557 0.8535  1 O 1.64
F6 0.8535 0.6244 0.3557  1 O 1.64
K1 0.0000 0.0000 0.0000  6 F 2.70
O1 0.0724 0.5233 0.9834  1 O 1.22
O2 0.9834 0.0724 0.5233  1 O 1.22
O3 0.9276 0.4767 0.0166  1 O 1.22
O4 0.3920 0.3920 0.3920  3 F 1.64
O5 0.6080 0.6080 0.6080  3 F 1.64
O6 0.4767 0.0166 0.9276  1 O 1.22
O7 0.0166 0.9276 0.4767  1 O 1.22
O8 0.5233 0.9834 0.0724  1 O 1.22

- energy relative to the elements, uncorrected (meV per atom) = -288
- crystal system = trigonal

***

No. 2
Density functional theory data (PBE-GGA) for a relaxed structure of CoNiSb2.

a = 4.1466 Å, b = 4.1466 Å, c = 5.7256 Å
α = 76.90°, β = 76.90°, γ = 46.79°
Last column: nearest neighbours and their distance in Å.
Element x y z (fractional)
Co1 0.7500 0.7500 0.7500  6 Sb 2.63-2.65
Ni1 0.2500 0.2500 0.2500  6 Sb 2.65-2.67
Sb1 0.0027 0.0027 0.9953  3 Co 2.63-2.65, 3 Ni 2.65-2.67
Sb2 0.4973 0.4973 0.5047  3 Co 2.63-2.65, 3 Ni 2.65-2.67

- energy relative to the elements, uncorrected (meV per atom) = 138
- crystal system = monoclinic